[1]
Density functional theory data (GGA-PBE) for crystalline AgOs2Se at its relaxed geometry.

## Properties
**Symmetry**: No. 160
**V**: 16.29 A^3/atom
**E_form (uncorrected)**: 0.46 eV/atom
**Density**: 14.5 g/cm3

Cell: 9.3077 9.3077 9.3077 Å, 17.71 17.71 17.71°
Closest atoms and distances in Å follow each position.
Fractional positions:
Ag  0.7470  0.7470  0.7470  6 Ag 2.87, 3 Os 2.93, 3 Se 3.12
Os  0.9923  0.9923  0.9923  9 Os 2.63-2.87, 3 Ag 2.93
Os  0.2511  0.2511  0.2511  9 Os 2.63-2.87, 3 Se 2.64
Se  0.5097  0.5097  0.5097  3 Os 2.64, 6 Se 2.87

[2]
Density functional theory data (GGA-PBE) for crystalline AgOsSe2 at its relaxed geometry.

## Properties
**Symmetry**: No. 225
**E above lowest polymorph**: 1.75 eV per formula unit
**V**: 17.04 A^3/atom
**E_form (uncorrected)**: 0.54 eV/atom
**Density**: 11.1 g/cm3

Cell: 4.5848 4.5848 4.5848 Å, 60.00 60.00 60.00°
Closest atoms and distances in Å follow each position.
Fractional positions:
Os  0.5000  0.5000  0.5000  8 Se 2.81
Se  0.2500  0.2500  0.2500  4 Os 2.81, 4 Ag 2.81
Se  0.7500  0.7500  0.7500  4 Ag 2.81, 4 Os 2.81
Ag  0.0000  0.0000  0.0000  8 Se 2.81

[3]
Density functional theory data (GGA-PBE) for crystalline AgOs3Se at its relaxed geometry.

## Properties
**Symmetry**: No. 221
**E above lowest polymorph**: 6.87 eV per formula unit
**V**: 22.93 A^3/atom
**E_form (uncorrected)**: 3.17 eV/atom
**Density**: 11.0 g/cm3

Cell: 4.8579 4.8579 4.8579 Å, 90.00 90.00 90.00°
Closest atoms and distances in Å follow each position.
Fractional positions:
Os  0.0000  0.5000  0.0000  2 Ag 2.43
Os  0.0000  0.0000  0.5000  2 Ag 2.43
Os  0.5000  0.0000  0.0000  2 Ag 2.43
Se  0.5000  0.5000  0.5000  12 Os 3.44
Ag  0.0000  0.0000  0.0000  6 Os 2.43

[4]
Density functional theory data (GGA-PBE) for crystalline AgOs2Se at its relaxed geometry.

## Properties
**Symmetry**: No. 12
**V**: 16.04 A^3/atom
**E_form (uncorrected)**: 0.83 eV/atom
**Density**: 14.7 g/cm3

Cell: 4.3689 4.3689 5.4276 Å, 80.76 80.76 38.93°
Closest atoms and distances in Å follow each position.
Fractional positions:
Ag  0.2500  0.2500  0.2500  6 Os 2.76-2.80, 2 Ag 2.91, 4 Se 3.08
Os  0.0048  0.0048  0.9620  3 Se 2.56-2.59, 2 Os 2.74, 3 Ag 2.76-2.80
Os  0.4952  0.4952  0.5380  3 Se 2.56-2.59, 2 Os 2.74, 3 Ag 2.76-2.80
Se  0.7500  0.7500  0.7500  6 Os 2.56-2.59

Look up the V of the third one. 22.93 A^3/atom

density of number 4 (AgOs2Se)? 14.7 g/cm3

Which of these has the lowest density? AgOs3Se